Compound: Ca2NdSi6
Source: the Alexandria database
Functional: GGA-PBE
Structure: relaxed

Summary:
uncorrected energy: -4.98 eV/atom
magnetic moment: 0.0 μB/cell
crystal system: hexagonal

Cell: 7.0844 7.0844 4.2575 Å, 90.00 90.00 120.00°
Last column: nearest neighbours and their distance in Å.
Fractional coordinates of all 9 atoms:
Ca 0.3333 0.6667 0.0000  12 Si 3.18
Ca 0.6667 0.3333 0.0000  12 Si 3.18
Nd 0.0000 0.0000 0.0000  12 Si 3.18
Si 0.0000 0.3334 0.5000  3 Si 2.36
Si 0.0000 0.6666 0.5000  3 Si 2.36
Si 0.3334 0.0000 0.5000  3 Si 2.36
Si 0.3334 0.3334 0.5000  3 Si 2.36
Si 0.6666 0.0000 0.5000  3 Si 2.36
Si 0.6666 0.6666 0.5000  3 Si 2.36

=====

Compound: Ca3Nd3Si4
Source: the Alexandria database
Functional: GGA-PBE
Structure: relaxed

Summary:
uncorrected energy: -4.80 eV/atom
magnetic moment: 0.0 μB/cell
crystal system: orthorhombic

Cell: 4.3950 7.7049 7.7049 Å, 89.65 90.00 90.00°
Last column: nearest neighbours and their distance in Å.
Fractional coordinates of all 10 atoms:
Ca 0.0000 0.0000 0.0000  6 Si 3.19-3.22, 4 Ca 3.56
Ca 0.5000 0.3195 0.8246  4 Si 3.11-3.13
Ca 0.5000 0.8246 0.3195  4 Si 3.11-3.13
Nd 0.0000 0.1456 0.5007  6 Si 3.15-3.17
Nd 0.0000 0.5007 0.1456  6 Si 3.15-3.17
Nd 0.0000 0.6462 0.6462  6 Si 3.15-3.18
Si 0.5000 0.2151 0.2151  1 Si 2.41
Si 0.5000 0.4357 0.4357  1 Si 2.41
Si 0.5000 0.7076 0.9318  1 Si 2.44
Si 0.5000 0.9318 0.7076  1 Si 2.44

=====

Compound: CaNdSi3
Source: the Alexandria database
Functional: GGA-PBE
Structure: relaxed

Summary:
uncorrected energy: -5.17 eV/atom
magnetic moment: 0.0 μB/cell
crystal system: orthorhombic

Cell: 12.7233 12.7233 3.9660 Å, 90.00 90.00 160.23°
Last column: nearest neighbours and their distance in Å.
Fractional coordinates of all 10 atoms:
Ca 0.2028 0.7972 0.7500  7 Si 3.04-3.11
Ca 0.7972 0.2028 0.2500  7 Si 3.04-3.11
Nd 0.0698 0.9302 0.2500  12 Si 3.16-3.39
Nd 0.9302 0.0698 0.7500  12 Si 3.16-3.39
Si 0.3268 0.6732 0.7500  2 Si 2.41
Si 0.3817 0.6183 0.2500  3 Si 2.36-2.41
Si 0.4757 0.5243 0.2500  3 Si 2.33-2.36
Si 0.5243 0.4757 0.7500  3 Si 2.33-2.36
Si 0.6183 0.3817 0.7500  3 Si 2.36-2.41
Si 0.6732 0.3268 0.2500  2 Si 2.41

=====

Compound: CaNdSi4
Source: the Alexandria database
Functional: GGA-PBE
Structure: relaxed

Summary:
magnetic moment: 0.0 μB/cell
crystal system: tetragonal
relative energy among the computed polymorphs: 0.000 eV/atom

Cell: 4.3185 4.3185 13.4062 Å, 90.00 90.00 90.00°
Last column: nearest neighbours and their distance in Å.
Fractional coordinates of all 12 atoms:
Ca 0.0000 0.0000 0.0000  12 Si 3.08-3.27
Ca 0.5000 0.5000 0.5000  12 Si 3.08-3.27
Nd 0.0000 0.5000 0.7500  12 Si 3.08-3.26
Nd 0.5000 0.0000 0.2500  12 Si 3.08-3.26
Si 0.0000 0.0000 0.4135  3 Si 2.32-2.40
Si 0.0000 0.0000 0.5865  3 Si 2.32-2.40
Si 0.0000 0.5000 0.1641  3 Si 2.30-2.40
Si 0.0000 0.5000 0.3359  3 Si 2.30-2.40
Si 0.5000 0.0000 0.6641  3 Si 2.30-2.40
Si 0.5000 0.0000 0.8359  3 Si 2.30-2.40
Si 0.5000 0.5000 0.0865  3 Si 2.32-2.40
Si 0.5000 0.5000 0.9135  3 Si 2.32-2.40